This record from the Alexandria database describes a geometry-optimized Y2HgBi structure. The functional is GGA-PBE.

Geometry as extended XYZ:
```
8
Lattice="-4.1058 4.1058 3.6184 4.1058 -4.1058 3.6184 4.1058 4.1058 -3.6184" Properties=species:S:1:pos:R:3 pbc="T T T"
Y 2.0529 1.9735 -0.9046
Y 2.1323 -2.0529 4.5230
Y 2.0529 2.1323 2.7138
Y 1.9735 6.1586 0.9046
Hg 0.0000 0.0000 0.0000
Hg 0.0000 4.1058 1.8092
Bi 4.1058 0.0000 1.8092
Bi 0.0000 0.0000 3.6184
```

Computed properties:
relative energy among the computed polymorphs: 252 meV/atom
DOS(E_F): 6.3 states/eV/f.u.
calculated total energy: -4.67 eV per atom
size of the total moment: 0.00 μB per cell
energy of formation from the pure elements: -0.39 eV/atom


This record from the Alexandria database describes a geometry-optimized TbMg2Zn structure. The functional is GGA-PBE.

Geometry as extended XYZ:
```
4
Lattice="0.0000 3.5188 3.5188 3.5188 0.0000 3.5188 3.5188 3.5188 0.0000" Properties=species:S:1:pos:R:3 pbc="T T T"
Tb 0.0000 0.0000 0.0000
Mg 1.7594 1.7594 1.7594
Mg 5.2782 5.2782 5.2782
Zn 3.5188 3.5188 3.5188
```

Computed properties:
DOS(E_F): 1.6 states/eV/f.u.
calculated total energy: -2.33 eV per atom
size of the total moment: 0.00 μB per cell
energy of formation from the pure elements: -0.05 eV/atom


This record from the Alexandria database describes a geometry-optimized TbHo2Rh structure. The functional is GGA-PBE.

Geometry as extended XYZ:
```
4
Lattice="1.9085 1.1019 9.0570 -1.9085 1.1019 9.0570 0.0000 -2.2037 9.0570" Properties=species:S:1:pos:R:3 pbc="T T T"
Tb 0.0000 0.0000 0.0000
Ho 0.0000 0.0000 6.1959
Ho 0.0000 0.0000 12.0104
Rh 0.0000 0.0000 22.6937
```

Computed properties:
relative energy among the computed polymorphs: 188 meV/atom
DOS(E_F): 5.0 states/eV/f.u.
calculated total energy: -5.63 eV per atom
size of the total moment: 0.32 μB per cell
energy of formation from the pure elements: -0.35 eV/atom


This record from the Alexandria database describes a geometry-optimized Cs2CuBi2 structure. The functional is GGA-PBE.

Geometry as extended XYZ:
```
10
Lattice="7.5419 0.0000 0.0000 0.0000 7.5419 0.0000 0.0000 0.0000 6.5740" Properties=species:S:1:pos:R:3 pbc="T T T"
Cs 1.2783 2.4927 0.0000
Cs 2.4927 6.2636 0.0000
Cs 5.0493 1.2783 0.0000
Cs 6.2636 5.0493 0.0000
Cu 0.0000 0.0000 3.2870
Cu 3.7710 3.7710 3.2870
Bi 1.1361 4.9071 3.2870
Bi 2.6349 1.1361 3.2870
Bi 4.9071 6.4058 3.2870
Bi 6.4058 2.6349 3.2870
```

Computed properties:
DOS(E_F): 1.2 states/eV/f.u.
calculated total energy: -2.78 eV per atom
size of the total moment: 0.00 μB per cell
energy of formation from the pure elements: -0.07 eV/atom


This record from the Alexandria database describes a geometry-optimized Ti2AlZn2 structure. The functional is GGA-PBE.

Geometry as extended XYZ:
```
10
Lattice="6.9959 0.0000 0.0000 0.0000 6.9959 0.0000 0.0000 0.0000 3.2475" Properties=species:S:1:pos:R:3 pbc="T T T"
Ti 1.2246 2.2733 0.0000
Ti 2.2733 5.7713 0.0000
Ti 4.7226 1.2246 0.0000
Ti 5.7713 4.7226 0.0000
Al 0.0000 0.0000 1.6237
Al 3.4980 3.4980 1.6237
Zn 0.8713 4.3692 1.6237
Zn 2.6267 0.8713 1.6237
Zn 4.3692 6.1247 1.6237
Zn 6.1247 2.6267 1.6237
```

Computed properties:
relative energy among the computed polymorphs: 108 meV/atom
DOS(E_F): 2.1 states/eV/f.u.
calculated total energy: -4.58 eV per atom
size of the total moment: 0.00 μB per cell
energy of formation from the pure elements: -0.17 eV/atom


This record from the Alexandria database describes a geometry-optimized MnTl2Rh structure. The functional is GGA-PBE.

Geometry as extended XYZ:
```
4
Lattice="1.6232 0.9371 9.2713 -1.6232 0.9371 9.2713 0.0000 -1.8743 9.2713" Properties=species:S:1:pos:R:3 pbc="T T T"
Mn 0.0000 0.0000 0.0000
Tl 0.0000 0.0000 14.5836
Tl 0.0000 0.0000 20.9381
Rh 0.0000 0.0000 7.5229
```

Computed properties:
relative energy among the computed polymorphs: 122 meV/atom
DOS(E_F): 3.2 states/eV/f.u.
calculated total energy: -5.02 eV per atom
size of the total moment: 4.46 μB per cell
energy of formation from the pure elements: 0.30 eV/atom